6
Lattice="-0.5588 3.3996 0.0660 -5.6970 -2.5971 -4.4160 8.1340 1.0758 13.4615" Properties=species:S:1:pos:R:3 comment="CeHoGa PBE relaxed" polymorph_energy_ev_per_atom=0.1531 magnetic_moment_mub_per_atom=0.06 e_form_ev_per_atom=-0.138 total_energy_ev_per_cell=-27.90 pbc="T T T"
Ga -0.9049 -0.1705 1.1218
Ga 2.7831 2.0488 7.9897
Ce -4.2215 1.1028 -2.5940
Ce 6.0997 0.7755 11.7054
Ho -0.6158 1.5730 3.7192
Ho 2.4939 0.3053 5.3923


7
Lattice="-1.7811 0.0390 2.1014 -2.6597 -0.5691 -0.4379 1.3403 -15.4158 3.2283" Properties=species:S:1:pos:R:3 comment="PdPt2Rh4 PBE relaxed" magnetic_moment_mub_per_atom=0.00 e_form_ev_per_atom=0.022 total_energy_ev_per_cell=-46.52 pbc="T T T"
Rh -3.2251 -7.0982 2.8159
Rh 0.1246 -8.8477 2.0759
Rh -1.0773 -2.3539 0.9365
Rh -2.0232 -13.5920 3.9553
Pt -2.1524 -4.7193 1.8750
Pt -0.9480 -11.2266 3.0168
Pd 0.0000 0.0000 0.0000


16
Lattice="-2.5125 -3.6598 2.3740 2.4526 -3.4507 -2.7240 14.4406 -0.8122 14.0310" Properties=species:S:1:pos:R:3 comment="PmNd3Ho12 PBE relaxed" magnetic_moment_mub_per_atom=0.00 e_form_ev_per_atom=0.022 total_energy_ev_per_cell=-73.64 pbc="T T T"
Ho 7.1903 -3.9614 6.8405
Ho 3.5739 -3.7580 3.3267
Ho 10.8068 -4.1648 10.3544
Ho -0.0300 -3.5553 -0.1750
Ho 6.6380 -2.0297 3.8962
Ho 7.7727 -2.3377 9.9598
Ho 11.3865 -2.5410 13.4712
Ho 3.0241 -1.8265 0.3848
Ho 0.5416 -1.9310 2.9338
Ho 10.2552 -2.2332 7.4108
Ho 4.1554 -2.1343 6.4452
Ho 13.8691 -2.4365 10.9222
Pm 0.0000 0.0000 0.0000
Nd 10.8351 -0.6094 10.5277
Nd 7.2203 -0.4061 7.0155
Nd 3.6055 -0.2028 3.5032


5
Lattice="-3.4900 2.2928 -2.7065 1.3144 -2.6907 -3.9743 -3.2946 -3.5022 1.2814" Properties=species:S:1:pos:R:3 comment="NbAs3Au PBE relaxed" polymorph_energy_ev_per_atom=0.0000 magnetic_moment_mub_per_atom=0.00 e_form_ev_per_atom=0.453 total_energy_ev_per_cell=-25.03 pbc="T T T"
As -1.7450 1.1464 -1.3533
As -1.6473 -1.7511 0.6407
As 0.6572 -1.3453 -1.9871
Nb 0.0000 0.0000 0.0000
Au -2.7351 -1.9500 -2.6997


5
Lattice="4.5431 0.0000 0.0000 0.0000 4.5431 0.0000 0.0000 0.0000 4.5431" Properties=species:S:1:pos:R:3 comment="GePS3 PBE relaxed" polymorph_energy_ev_per_atom=0.4463 magnetic_moment_mub_per_atom=0.00 total_energy_ev_per_cell=-20.50 formation_energy_uncorrected_ev_per_atom=0.38 pbc="T T T"
S 2.2716 0.0000 0.0000
S 0.0000 2.2716 0.0000
S 0.0000 0.0000 2.2716
P 0.0000 0.0000 0.0000
Ge 2.2716 2.2716 2.2716


10
Lattice="7.8003 0.0000 0.0000 0.0000 7.8003 0.0000 3.9001 3.9001 5.7974" Properties=species:S:1:pos:R:3 comment="Cs2TcBrCl6 PBE relaxed" polymorph_energy_ev_per_atom=0.0650 magnetic_moment_mub_per_atom=0.38 total_energy_ev_per_cell=-35.85 formation_energy_uncorrected_ev_per_atom=-1.10 pbc="T T T"
Cl 1.6808 1.6808 0.0000
Cl 6.1194 1.6808 0.0000
Cl 6.1194 6.1194 0.0000
Cl 3.9001 3.9001 3.4259
Cl 1.6808 6.1194 0.0000
Cl 7.8003 7.8003 2.3715
Tc 0.0000 0.0000 0.0000
Br 3.9001 3.9001 0.0000
Cs 7.8003 3.9001 2.8987
Cs 3.9001 7.8003 2.8987


5
Lattice="4.0806 0.0000 0.0000 2.0403 3.5339 0.0000 2.0403 1.1780 11.2616" Properties=species:S:1:pos:R:3 comment="Pm2GaBr2 PBE relaxed" magnetic_moment_mub_per_atom=0.00 total_energy_ev_per_cell=-22.22 formation_energy_uncorrected_ev_per_atom=-1.27 pbc="T T T"
Ga 0.0000 0.0000 0.0000
Pm 4.0806 2.3559 9.3645
Pm 4.0806 2.3559 1.8971
Br 2.0403 1.1780 3.7421
Br 6.1209 3.5339 7.5195


5
Lattice="-2.1741 -3.8032 1.6252 1.8194 0.7693 4.2344 -3.7142 2.6031 1.1229" Properties=species:S:1:pos:R:3 comment="HfTi3Ru PBE relaxed" polymorph_energy_ev_per_atom=0.4640 magnetic_moment_mub_per_atom=0.00 e_form_ev_per_atom=0.361 total_energy_ev_per_cell=-41.11 pbc="T T T"
Hf -2.0345 -0.2154 3.4913
Ti -1.0871 -1.9016 0.8126
Ti -1.8571 1.3015 0.5615
Ti 0.9097 0.3847 2.1172
Ru 0.0000 0.0000 0.0000


8
Lattice="-0.4830 1.8830 -3.9496 3.3289 -2.4208 -1.5612 -5.4802 -7.9457 -5.5712" Properties=species:S:1:pos:R:3 comment="La2TaAu PBE relaxed" polymorph_energy_ev_per_atom=0.5879 magnetic_moment_mub_per_atom=0.00 e_form_ev_per_atom=0.582 total_energy_ev_per_cell=-45.31 pbc="T T T"
Au -2.2701 -3.1658 -6.1381
Au 0.0000 0.0000 0.0000
La 0.6485 -3.2578 -2.8752
La -3.0320 -6.1689 -6.2501
La -1.6310 -6.4219 -8.9952
La -1.2542 -1.1184 -4.0434
Ta 1.4229 -0.2689 -2.7554
Ta -0.3642 -5.3177 -4.9439


4
Lattice="4.5310 0.0000 0.0000 0.0000 3.4221 0.0582 0.0000 2.1254 5.7966" Properties=species:S:1:pos:R:3 comment="LiSc2Br PBE relaxed" polymorph_energy_ev_per_atom=0.2013 magnetic_moment_mub_per_atom=0.00 total_energy_ev_per_cell=-17.14 formation_energy_uncorrected_ev_per_atom=-0.22 pbc="T T T"
Br 2.2655 1.3869 1.4637
Sc 0.0000 2.1909 2.8597
Sc 0.0000 0.5828 0.0677
Li 2.2655 4.1606 4.3911


16
Lattice="7.1075 0.0000 0.4364 0.0000 5.8050 0.0000 0.8693 0.0000 7.1981" Properties=species:S:1:pos:R:3 comment="Hf2BiH PBE relaxed" polymorph_energy_ev_per_atom=0.0000 magnetic_moment_mub_per_atom=0.00 total_energy_ev_per_cell=-112.36 pbc="T T T"
Hf 5.3124 5.0032 4.1649
Hf 0.3023 5.0407 1.5200
Hf 3.8560 3.6667 1.7382
Hf 2.6644 0.8017 3.4695
Hf 7.6746 0.7642 6.1144
Hf 1.7586 3.7042 3.9467
Hf 6.2182 2.1008 3.6877
Hf 4.1208 2.1383 5.8962
Bi 1.2741 2.1427 1.1064
Bi 3.1490 5.0451 6.3099
Bi 4.8278 0.7598 1.3246
Bi 6.7027 3.6623 6.5280
H 2.1572 4.8924 2.3617
H 5.7109 3.8150 2.5798
H 2.2659 1.9899 5.0546
H 5.8196 0.9125 5.2728


5
Lattice="-4.9940 1.6180 -3.5921 -1.9353 -6.0592 -0.0388 -2.9142 0.9022 4.4579" Properties=species:S:1:pos:R:3 comment="Cs2KHBr PBE relaxed" magnetic_moment_mub_per_atom=0.04 total_energy_ev_per_cell=-10.70 pbc="T T T"
Cs -2.4970 0.8090 -1.7961
Cs -0.9676 -3.0296 -0.0194
Br -4.9217 -1.7695 0.4135
K -1.4571 0.4511 2.2290
H 0.0000 0.0000 0.0000